[1]
! GGA-PBEsol Sr2BiO, relaxed; values from VASP
&SYSTEM
  ibrav = 0, nat = 8, ntyp = 3
/
ATOMIC_SPECIES
Sr 87.62 Sr.upf
Bi 208.98 Bi.upf
O 16.00 O.upf
CELL_PARAMETERS angstrom
-3.690 3.690 4.343
3.690 -3.690 4.343
3.690 3.690 -4.343
ATOMIC_POSITIONS crystal
Sr 0.012 0.125 0.387
Sr 0.375 0.988 0.113
Sr 0.738 0.625 0.613
Sr 0.875 0.262 0.887
Bi 0.250 0.750 0.500
Bi 0.500 0.500 0.000
O 0.000 0.000 0.000
O 0.750 0.250 0.500
! Distance to the lowest polymorph of the same formula   0.000 eV/atom
! SG   I-42d
! Calculated total energy   -4.897 eV per atom
! M_tot   0.232 μB per atom
! Raw formation energy   -1.5936 eV/atom

=====

[2]
! GGA-PBEsol SrTi4Bi4O15, relaxed; values from VASP
&SYSTEM
  ibrav = 0, nat = 48, ntyp = 4
/
ATOMIC_SPECIES
Sr 87.62 Sr.upf
Ti 47.87 Ti.upf
Bi 208.98 Bi.upf
O 16.00 O.upf
CELL_PARAMETERS angstrom
20.240 -2.723 0.000
20.240 2.723 0.000
0.000 0.000 5.468
ATOMIC_POSITIONS crystal
Sr 0.245 0.755 0.500
Sr 0.755 0.245 0.000
Ti 0.097 0.601 0.008
Ti 0.201 0.703 0.005
Ti 0.297 0.799 0.005
Ti 0.399 0.903 0.008
Ti 0.601 0.097 0.508
Ti 0.703 0.201 0.505
Ti 0.799 0.297 0.505
Ti 0.903 0.399 0.508
Bi 0.055 0.508 0.440
Bi 0.147 0.650 0.464
Bi 0.350 0.853 0.464
Bi 0.492 0.945 0.440
Bi 0.508 0.055 0.940
Bi 0.650 0.147 0.964
Bi 0.853 0.350 0.964
Bi 0.945 0.492 0.940
O 0.020 0.065 0.259
O 0.065 0.020 0.759
O 0.090 0.718 0.049
O 0.104 0.192 0.817
O 0.119 0.493 0.016
O 0.192 0.104 0.317
O 0.242 0.256 0.710
O 0.256 0.242 0.210
O 0.282 0.910 0.049
O 0.299 0.701 0.033
O 0.341 0.386 0.755
O 0.386 0.341 0.255
O 0.417 0.476 0.310
O 0.476 0.417 0.810
O 0.493 0.119 0.516
O 0.507 0.881 0.016
O 0.524 0.583 0.310
O 0.583 0.524 0.810
O 0.614 0.659 0.755
O 0.659 0.614 0.255
O 0.701 0.299 0.533
O 0.718 0.090 0.549
O 0.744 0.758 0.710
O 0.758 0.744 0.210
O 0.808 0.896 0.817
O 0.881 0.507 0.516
O 0.896 0.808 0.317
O 0.910 0.282 0.549
O 0.935 0.980 0.259
O 0.980 0.935 0.759
! SG   Cmc2_1
! Calculated total energy   -7.826 eV per atom
! M_tot   0.000 μB per atom
! Raw formation energy   -2.3670 eV/atom

=====

[3]
! GGA-PBEsol Sr3V3BiO12, relaxed; values from VASP
&SYSTEM
  ibrav = 0, nat = 38, ntyp = 4
/
ATOMIC_SPECIES
Sr 87.62 Sr.upf
V 50.94 V.upf
Bi 208.98 Bi.upf
O 16.00 O.upf
CELL_PARAMETERS angstrom
4.899 -8.399 0.000
4.899 8.399 0.000
-3.328 0.000 6.481
ATOMIC_POSITIONS crystal
Sr 0.137 0.448 0.903
Sr 0.194 0.194 0.126
Sr 0.448 0.137 0.903
Sr 0.552 0.863 0.097
Sr 0.806 0.806 0.874
Sr 0.863 0.552 0.097
V 0.080 0.744 0.716
V 0.256 0.920 0.284
V 0.397 0.397 0.714
V 0.603 0.603 0.286
V 0.744 0.080 0.716
V 0.920 0.256 0.284
Bi 0.314 0.686 0.500
Bi 0.686 0.314 0.500
O 0.030 0.657 0.458
O 0.060 0.883 0.183
O 0.083 0.401 0.227
O 0.117 0.940 0.817
O 0.225 0.723 0.176
O 0.256 0.256 0.478
O 0.277 0.775 0.824
O 0.320 0.320 0.885
O 0.343 0.970 0.542
O 0.401 0.083 0.227
O 0.410 0.587 0.742
O 0.413 0.590 0.258
O 0.587 0.410 0.742
O 0.590 0.413 0.258
O 0.599 0.917 0.773
O 0.657 0.030 0.458
O 0.680 0.680 0.115
O 0.723 0.225 0.176
O 0.744 0.744 0.522
O 0.775 0.277 0.824
O 0.883 0.060 0.183
O 0.917 0.599 0.773
O 0.940 0.117 0.817
O 0.970 0.343 0.542
! SG   C2/m
! Calculated total energy   -7.895 eV per atom
! M_tot   0.000 μB per atom
! Raw formation energy   -2.5422 eV/atom

=====

[4]
! GGA-PBEsol SrV4Bi6O20, relaxed; values from VASP
&SYSTEM
  ibrav = 0, nat = 31, ntyp = 4
/
ATOMIC_SPECIES
Sr 87.62 Sr.upf
V 50.94 V.upf
Bi 208.98 Bi.upf
O 16.00 O.upf
CELL_PARAMETERS angstrom
7.105 0.000 0.000
-2.972 7.353 0.000
-0.782 -3.075 8.653
ATOMIC_POSITIONS crystal
Sr 0.000 0.000 0.000
V 0.053 0.275 0.755
V 0.347 0.397 0.261
V 0.653 0.603 0.739
V 0.947 0.725 0.245
Bi 0.193 0.714 0.669
Bi 0.341 0.128 0.512
Bi 0.434 0.799 0.085
Bi 0.566 0.201 0.915
Bi 0.659 0.872 0.488
Bi 0.807 0.286 0.331
O 0.058 0.800 0.437
O 0.111 0.244 0.278
O 0.129 0.834 0.151
O 0.162 0.523 0.831
O 0.239 0.184 0.756
O 0.324 0.914 0.900
O 0.353 0.305 0.073
O 0.373 0.633 0.311
O 0.453 0.973 0.637
O 0.464 0.624 0.625
O 0.536 0.376 0.375
O 0.547 0.027 0.363
O 0.627 0.367 0.689
O 0.647 0.695 0.927
O 0.676 0.086 0.100
O 0.761 0.816 0.244
O 0.838 0.477 0.169
O 0.871 0.166 0.849
O 0.889 0.756 0.722
O 0.942 0.200 0.563
! SG   P-1
! Calculated total energy   -7.491 eV per atom
! M_tot   0.000 μB per atom
! Raw formation energy   -1.9728 eV/atom

=====

[5]
! GGA-PBEsol Sr2V3BiO11, relaxed; values from VASP
&SYSTEM
  ibrav = 0, nat = 34, ntyp = 4
/
ATOMIC_SPECIES
Sr 87.62 Sr.upf
V 50.94 V.upf
Bi 208.98 Bi.upf
O 16.00 O.upf
CELL_PARAMETERS angstrom
6.957 0.000 0.000
-0.291 6.981 0.000
-1.044 -1.604 9.974
ATOMIC_POSITIONS crystal
Sr 0.145 0.255 0.477
Sr 0.161 0.612 0.863
Sr 0.839 0.388 0.137
Sr 0.855 0.745 0.523
V 0.140 0.111 0.836
V 0.344 0.763 0.539
V 0.365 0.576 0.235
V 0.635 0.424 0.765
V 0.656 0.237 0.461
V 0.860 0.889 0.164
Bi 0.339 0.081 0.137
Bi 0.661 0.919 0.863
O 0.043 0.060 0.234
O 0.085 0.251 0.978
O 0.160 0.463 0.264
O 0.185 0.916 0.490
O 0.199 0.263 0.733
O 0.200 0.603 0.599
O 0.320 0.747 0.134
O 0.331 0.972 0.894
O 0.466 0.128 0.351
O 0.475 0.660 0.403
O 0.489 0.399 0.152
O 0.511 0.601 0.848
O 0.525 0.340 0.597
O 0.534 0.872 0.649
O 0.669 0.028 0.106
O 0.680 0.253 0.866
O 0.800 0.397 0.401
O 0.801 0.737 0.267
O 0.815 0.084 0.510
O 0.840 0.537 0.736
O 0.915 0.749 0.022
O 0.957 0.940 0.766
! SG   P-1
! Calculated total energy   -8.074 eV per atom
! M_tot   0.000 μB per atom
! Raw formation energy   -2.5091 eV/atom

=====

[6]
! GGA-PBEsol Sr2YBiO6, relaxed; values from VASP
&SYSTEM
  ibrav = 0, nat = 10, ntyp = 4
/
ATOMIC_SPECIES
Sr 87.62 Sr.upf
Y 88.91 Y.upf
Bi 208.98 Bi.upf
O 16.00 O.upf
CELL_PARAMETERS angstrom
0.000 4.244 4.244
4.244 0.000 4.244
4.244 4.244 0.000
ATOMIC_POSITIONS crystal
Sr 0.250 0.250 0.250
Sr 0.750 0.750 0.750
Y 0.000 0.000 0.000
Bi 0.500 0.500 0.500
O 0.255 0.255 0.745
O 0.255 0.745 0.255
O 0.255 0.745 0.745
O 0.745 0.255 0.255
O 0.745 0.255 0.745
O 0.745 0.745 0.255
! SG   Fm-3m
! Calculated total energy   -7.011 eV per atom
! M_tot   0.000 μB per atom
! Raw formation energy   -2.3821 eV/atom

=====

[7]
! GGA-PBEsol TaBiO4, relaxed; values from VASP
&SYSTEM
  ibrav = 0, nat = 24, ntyp = 3
/
ATOMIC_SPECIES
Ta 180.95 Ta.upf
Bi 208.98 Bi.upf
O 16.00 O.upf
CELL_PARAMETERS angstrom
5.652 0.000 0.000
0.000 11.746 0.000
0.000 0.000 4.969
ATOMIC_POSITIONS crystal
Ta 0.133 0.250 0.250
Ta 0.367 0.750 0.250
Ta 0.633 0.250 0.750
Ta 0.867 0.750 0.750
Bi 0.250 0.000 0.727
Bi 0.250 0.500 0.773
Bi 0.750 0.000 0.273
Bi 0.750 0.500 0.227
O 0.082 0.098 0.414
O 0.082 0.402 0.086
O 0.145 0.694 0.507
O 0.145 0.806 0.993
O 0.355 0.194 0.993
O 0.355 0.306 0.507
O 0.418 0.598 0.086
O 0.418 0.902 0.414
O 0.582 0.098 0.586
O 0.582 0.402 0.914
O 0.645 0.694 0.493
O 0.645 0.806 0.007
O 0.855 0.194 0.007
O 0.855 0.306 0.493
O 0.918 0.598 0.914
O 0.918 0.902 0.586
! SG   Pnna
! Calculated total energy   -8.550 eV per atom
! M_tot   0.000 μB per atom
! Raw formation energy   -2.2448 eV/atom

=====

[8]
! GGA-PBEsol Ta2Bi2O9, relaxed; values from VASP
&SYSTEM
  ibrav = 0, nat = 26, ntyp = 3
/
ATOMIC_SPECIES
Ta 180.95 Ta.upf
Bi 208.98 Bi.upf
O 16.00 O.upf
CELL_PARAMETERS angstrom
11.877 -2.585 0.000
11.877 2.585 0.000
0.000 0.000 5.612
ATOMIC_POSITIONS crystal
Ta 0.174 0.676 0.500
Ta 0.324 0.826 0.500
Ta 0.676 0.174 0.000
Ta 0.826 0.324 0.000
Bi 0.057 0.561 0.871
Bi 0.439 0.943 0.871
Bi 0.561 0.057 0.371
Bi 0.943 0.439 0.371
O 0.031 0.095 0.741
O 0.033 0.281 0.022
O 0.095 0.031 0.241
O 0.178 0.359 0.200
O 0.281 0.033 0.522
O 0.350 0.439 0.807
O 0.359 0.178 0.700
O 0.378 0.622 0.542
O 0.439 0.350 0.307
O 0.561 0.650 0.807
O 0.622 0.378 0.042
O 0.641 0.822 0.200
O 0.650 0.561 0.307
O 0.719 0.967 0.022
O 0.822 0.641 0.700
O 0.905 0.969 0.741
O 0.967 0.719 0.522
O 0.969 0.905 0.241
! SG   Cmc2_1
! Calculated total energy   -8.179 eV per atom
! M_tot   0.000 μB per atom
! Raw formation energy   -1.9548 eV/atom

=====

[9]
! GGA-PBEsol Ta3BiO, relaxed; values from VASP
&SYSTEM
  ibrav = 0, nat = 5, ntyp = 3
/
ATOMIC_SPECIES
Ta 180.95 Ta.upf
Bi 208.98 Bi.upf
O 16.00 O.upf
CELL_PARAMETERS angstrom
5.113 0.000 0.000
0.000 5.113 0.000
0.000 0.000 5.113
ATOMIC_POSITIONS crystal
Ta 0.000 0.000 0.500
Ta 0.000 0.500 0.000
Ta 0.500 0.000 0.000
Bi 0.000 0.000 0.000
O 0.500 0.500 0.500
! SG   Pm-3m
! Calculated total energy   -6.324 eV per atom
! M_tot   0.205 μB per atom
! Raw formation energy   3.1136 eV/atom

=====

[10]
! GGA-PBEsol Ta6Bi2O19, relaxed; values from VASP
&SYSTEM
  ibrav = 0, nat = 54, ntyp = 3
/
ATOMIC_SPECIES
Ta 180.95 Ta.upf
Bi 208.98 Bi.upf
O 16.00 O.upf
CELL_PARAMETERS angstrom
6.269 0.000 0.000
-3.135 5.429 0.000
0.000 0.000 20.392
ATOMIC_POSITIONS crystal
Ta 0.000 0.357 0.157
Ta 0.000 0.357 0.343
Ta 0.000 0.643 0.657
Ta 0.000 0.643 0.843
Ta 0.357 0.000 0.157
Ta 0.357 0.000 0.343
Ta 0.357 0.357 0.657
Ta 0.357 0.357 0.843
Ta 0.643 0.000 0.657
Ta 0.643 0.000 0.843
Ta 0.643 0.643 0.157
Ta 0.643 0.643 0.343
Bi 0.333 0.667 0.000
Bi 0.333 0.667 0.500
Bi 0.667 0.333 0.000
Bi 0.667 0.333 0.500
O 0.000 0.243 0.656
O 0.000 0.243 0.844
O 0.000 0.401 0.058
O 0.000 0.401 0.442
O 0.000 0.403 0.250
O 0.000 0.597 0.750
O 0.000 0.599 0.558
O 0.000 0.599 0.942
O 0.000 0.757 0.156
O 0.000 0.757 0.344
O 0.243 0.000 0.656
O 0.243 0.000 0.844
O 0.243 0.243 0.156
O 0.243 0.243 0.344
O 0.333 0.667 0.149
O 0.333 0.667 0.351
O 0.333 0.667 0.649
O 0.333 0.667 0.851
O 0.401 0.000 0.058
O 0.401 0.000 0.442
O 0.401 0.401 0.558
O 0.401 0.401 0.942
O 0.403 0.000 0.250
O 0.403 0.403 0.750
O 0.597 0.000 0.750
O 0.597 0.597 0.250
O 0.599 0.000 0.558
O 0.599 0.000 0.942
O 0.599 0.599 0.058
O 0.599 0.599 0.442
O 0.667 0.333 0.149
O 0.667 0.333 0.351
O 0.667 0.333 0.649
O 0.667 0.333 0.851
O 0.757 0.000 0.156
O 0.757 0.000 0.344
O 0.757 0.757 0.656
O 0.757 0.757 0.844
! SG   P6_3/mcm
! Calculated total energy   -9.260 eV per atom
! M_tot   0.000 μB per atom
! Raw formation energy   -2.4597 eV/atom

=====

[11]
! GGA-PBEsol Ta3Bi7O18, relaxed; values from VASP
&SYSTEM
  ibrav = 0, nat = 56, ntyp = 3
/
ATOMIC_SPECIES
Ta 180.95 Ta.upf
Bi 208.98 Bi.upf
O 16.00 O.upf
CELL_PARAMETERS angstrom
15.858 -3.802 0.000
15.858 3.802 0.000
-0.330 0.000 6.559
ATOMIC_POSITIONS crystal
Ta 0.000 0.500 0.500
Ta 0.193 0.694 0.877
Ta 0.306 0.807 0.123
Ta 0.500 0.000 0.500
Ta 0.694 0.193 0.877
Ta 0.807 0.306 0.123
Bi 0.047 0.047 0.657
Bi 0.102 0.605 0.199
Bi 0.147 0.147 0.310
Bi 0.249 0.249 0.038
Bi 0.338 0.338 0.706
Bi 0.395 0.898 0.801
Bi 0.446 0.446 0.407
Bi 0.554 0.554 0.593
Bi 0.605 0.102 0.199
Bi 0.662 0.662 0.294
Bi 0.751 0.751 0.962
Bi 0.853 0.853 0.690
Bi 0.898 0.395 0.801
Bi 0.953 0.953 0.343
O 0.024 0.603 0.505
O 0.053 0.457 0.793
O 0.072 0.072 0.076
O 0.113 0.113 0.626
O 0.155 0.755 0.599
O 0.167 0.594 0.832
O 0.174 0.174 0.984
O 0.212 0.788 0.000
O 0.217 0.639 0.181
O 0.245 0.845 0.401
O 0.260 0.260 0.433
O 0.322 0.322 0.053
O 0.361 0.783 0.819
O 0.380 0.380 0.433
O 0.397 0.976 0.495
O 0.406 0.833 0.168
O 0.453 0.453 0.820
O 0.457 0.053 0.793
O 0.543 0.947 0.207
O 0.547 0.547 0.180
O 0.594 0.167 0.832
O 0.603 0.024 0.505
O 0.620 0.620 0.567
O 0.639 0.217 0.181
O 0.678 0.678 0.947
O 0.740 0.740 0.567
O 0.755 0.155 0.599
O 0.783 0.361 0.819
O 0.788 0.212 0.000
O 0.826 0.826 0.016
O 0.833 0.406 0.168
O 0.845 0.245 0.401
O 0.887 0.887 0.374
O 0.928 0.928 0.924
O 0.947 0.543 0.207
O 0.976 0.397 0.495
! SG   C2/m
! Calculated total energy   -7.698 eV per atom
! M_tot   0.000 μB per atom
! Raw formation energy   -1.9075 eV/atom